1.
The following is a DFT calculation (SCAN) of a crystal of CaMoRu2 relaxed with PBEsol.

```
CaMoRu2
1.0
1.402 0.809 9.434
-1.402 0.809 9.434
0.000 -1.619 9.434
Ca Mo Ru
1 1 2
Cartesian
0.000 0.000 0.000 Ca
0.000 0.000 6.692 Mo
0.000 0.000 14.002 Ru
0.000 0.000 21.351 Ru
```

Output
**E_form**: 0.67 eV per atom


2.
The following is a DFT calculation (SCAN) of a crystal of MgFeBr2 relaxed with PBEsol.

```
MgFeBr2
1.0
1.735 1.001 8.793
-1.735 1.001 8.793
0.000 -2.003 8.793
Mg Fe Br
1 1 2
Cartesian
0.000 0.000 0.000 Mg
0.000 0.000 13.189 Fe
0.000 0.000 5.708 Br
0.000 0.000 20.671 Br
```

Output
**Formation energy without anion corrections**: -7 kJ per mole of atoms


3.
The following is a DFT calculation (SCAN) of a crystal of AlCdPt2 relaxed with PBEsol.

```
AlCdPt2
1.0
-1.738 2.039 4.464
1.738 -2.039 4.464
1.738 2.039 -4.464
Al Cd Pt
1 1 2
Cartesian
0.000 0.000 0.000 Al
0.000 2.039 2.189 Cd
1.738 0.000 1.843 Pt
0.000 0.000 4.238 Pt
```

Output
**E_form**: -0.59 eV per atom


4.
The following is a DFT calculation (SCAN) of a crystal of SrTeN2 relaxed with PBEsol.

```
SrTeN2
1.0
1.902 1.098 6.557
-1.902 1.098 6.557
0.000 -2.196 6.557
Sr Te N
1 1 2
Cartesian
0.000 0.000 0.000 Sr
0.000 0.000 9.835 Te
0.000 0.000 7.885 N
0.000 0.000 11.785 N
```

Output
**Formation energy without anion corrections**: 28 kJ per mole of atoms